First-principles (PBE-GGA) data for an optimized crystal structure of BaDyAgPb, as listed in Alexandria.

Cell: 7.9598 7.9598 7.9598 Å, 90.00 90.00 90.00°
Last column: nearest neighbours and their distance in Å.
Sites, in units of the cell vectors:
Ba 0.0000 0.0000 0.0000  4 Pb 3.45, 4 Ag 3.45
Ba 0.0000 0.5000 0.5000  4 Pb 3.45, 4 Ag 3.45
Ba 0.5000 0.0000 0.5000  4 Pb 3.45, 4 Ag 3.45
Ba 0.5000 0.5000 0.0000  4 Pb 3.45, 4 Ag 3.45
Dy 0.0000 0.0000 0.5000  4 Pb 3.45, 4 Ag 3.45
Dy 0.0000 0.5000 0.0000  4 Pb 3.45, 4 Ag 3.45
Dy 0.5000 0.0000 0.0000  4 Pb 3.45, 4 Ag 3.45
Dy 0.5000 0.5000 0.5000  4 Pb 3.45, 4 Ag 3.45
Ag 0.2500 0.2500 0.2500  4 Dy 3.45, 4 Ba 3.45
Ag 0.2500 0.7500 0.7500  4 Ba 3.45, 4 Dy 3.45
Ag 0.7500 0.2500 0.7500  4 Ba 3.45, 4 Dy 3.45
Ag 0.7500 0.7500 0.2500  4 Ba 3.45, 4 Dy 3.45
Pb 0.2500 0.2500 0.7500  4 Ba 3.45, 4 Dy 3.45
Pb 0.2500 0.7500 0.2500  4 Ba 3.45, 4 Dy 3.45
Pb 0.7500 0.2500 0.2500  4 Ba 3.45, 4 Dy 3.45
Pb 0.7500 0.7500 0.7500  4 Ba 3.45, 4 Dy 3.45

Calculated values
- size of the total moment (μB/f.u.) = 0.0
- VASP energy (eV per atom) = -3.575
- crystal system = cubic